## LaCdAg2B (PBEsol)

Data for an optimized crystal structure of LaCdAg2B.

a b c (Å): 4.565 4.565 4.603
angles (deg): 90.00 90.00 90.00
Space group P4/mmm (No. 123)
Unique sites:
La 0.000 0.000 0.000
Cd 0.500 0.500 0.000
Ag 0.000 0.500 0.500
B 0.500 0.500 0.500

Calculated density, g/cm³: 8.3
Total magnetization, μB per formula unit: 0.00
DOS(E_F), states/eV/cell: 3.3
ΔE_f, eV/atom: 0.1746


## AgB2Cl (PBEsol)

Data for an optimized crystal structure of AgB2Cl.

a b c (Å): 5.208 5.208 8.993
angles (deg): 90.00 90.00 90.00
Space group I-42d (No. 122)
Unique sites:
Ag 0.000 0.000 0.000
B 0.239 0.250 0.125
Cl 0.000 0.000 0.500

Calculated density, g/cm³: 4.5
Total magnetization, μB per formula unit: 0.00
DOS(E_F), states/eV/cell: 1.3
Formation energy without anion corrections, meV/atom: 1380


## AgBCl2 (PBEsol)

Data for an optimized crystal structure of AgBCl2.

a b c (Å): 3.0808 3.0808 28.0379
angles (deg): 90.00 90.00 120.00
Space group R-3m (No. 166, hexagonal axes)
Unique sites:
Ag 0.0000 0.0000 0.0000
B 0.0000 0.0000 0.5000
Cl 0.0000 0.0000 0.4406

Calculated density, g/cm³: 4.1
Total magnetization, μB per formula unit: 0.00
DOS(E_F), states/eV/cell: 3.9
Formation energy without anion corrections, meV/atom: 348


## AgBPtCl2 (PBEsol)

Data for an optimized crystal structure of AgBPtCl2.

a b c (Å): 4.656 4.656 5.205
angles (deg): 90.00 90.00 90.00
Space group P4/mmm (No. 123)
Unique sites:
Ag 0.000 0.000 0.000
B 0.500 0.500 0.500
Pt 0.000 0.000 0.500
Cl 0.000 0.500 0.000

Calculated density, g/cm³: 5.7
Total magnetization, μB per formula unit: 0.00
DOS(E_F), states/eV/cell: 2.9
Formation energy without anion corrections, meV/atom: 1472


## CoAgB2Pd (PBEsol)

Data for an optimized crystal structure of CoAgB2Pd.

a b c (Å): 3.924 3.924 5.038
angles (deg): 90.00 90.00 90.00
Space group P4/mmm (No. 123)
Unique sites:
Co 0.000 0.000 0.000
Ag 0.500 0.500 0.000
B 0.000 0.500 0.500
Pd 0.500 0.500 0.500

Calculated density, g/cm³: 6.3
Total magnetization, μB per formula unit: 2.12
DOS(E_F), states/eV/cell: 6.1
ΔE_f, eV/atom: 1.4371


## CrAgB2 (PBEsol)

Data for an optimized crystal structure of CrAgB2.

a b c (Å): 5.652 5.652 5.431
angles (deg): 90.00 90.00 90.00
Space group I-42d (No. 122)
Unique sites:
Cr 0.000 0.000 0.000
Ag 0.000 0.000 0.500
B 0.222 0.250 0.125

Calculated density, g/cm³: 6.9
Total magnetization, μB per formula unit: 0.28
DOS(E_F), states/eV/cell: 7.3
ΔE_f, eV/atom: 0.8917


## CrAgB3 (PBEsol)

Data for an optimized crystal structure of CrAgB3.

a b c (Å): 3.872 3.872 3.872
angles (deg): 90.00 90.00 90.00
Space group Pm-3m (No. 221)
Unique sites:
Cr 0.000 0.000 0.000
Ag 0.500 0.500 0.500
B 0.000 0.000 0.500

Calculated density, g/cm³: 5.5
Total magnetization, μB per formula unit: 0.00
DOS(E_F), states/eV/cell: 2.6
ΔE_f, eV/atom: 1.1887


## CsAg3B (PBEsol)

Data for an optimized crystal structure of CsAg3B.

a b c (Å): 4.680 4.680 4.680
angles (deg): 90.00 90.00 90.00
Space group Pm-3m (No. 221)
Unique sites:
Cs 0.000 0.000 0.000
Ag 0.000 0.500 0.500
B 0.500 0.500 0.500

Calculated density, g/cm³: 7.6
Total magnetization, μB per formula unit: 0.00
DOS(E_F), states/eV/cell: 2.3
ΔE_f, eV/atom: 0.5398